[1]
Mg4CdAu2: optimized geometry, PBE.

Geometry as POSCAR:
```
Mg4CdAu2
1.0
-1.9693 3.3733 -2.5773
0.3098 -0.1392 -4.6674
-6.9383 -2.8830 -2.7206
Au Mg Cd
2 4 1
Cartesian
-2.0944 0.1219 -2.4887
-6.5034 0.2292 -7.4767
-4.1766 1.6726 -7.3653
-2.1007 1.5392 -4.8774
-4.4212 -1.3215 -2.6001
-6.4971 -1.1881 -5.0879
0.0000 0.0000 0.0000
```

Computed properties:
The energy above the most stable polymorph in this dataset comes out at 0 meV/atom. The calculated formation energy comes out at -0.418 eV/atom. Its space group is R-3m (166). The final energy is -2.396 eV per atom.

***

[2]
SbMoBr2: optimized geometry, PBE.

Geometry as POSCAR:
```
SbMoBr2
1.0
3.4190 0.0045 0.0000
-1.5772 3.0335 0.0000
0.0000 0.0000 9.8020
Br Sb Mo
2 1 1
Cartesian
0.9209 1.5190 3.0534
0.0000 0.0000 9.4141
0.9209 1.5190 7.0573
0.0000 0.0000 4.9802
```

Computed properties:
The energy above the most stable polymorph in this dataset comes out at 439 meV/atom. The calculation puts the uncorrected formation energy at 0.34 eV per atom. Its space group is Cmm2 (35). The final energy is -4.236 eV per atom.

***

[3]
K2Hg8Pd: optimized geometry, PBE.

Geometry as POSCAR:
```
K2Hg8Pd
1.0
4.9633 0.0000 0.0000
0.0000 4.9633 0.0000
0.0000 0.0000 12.8987
Hg K Pd
8 2 1
Cartesian
2.4817 0.0000 6.4493
0.0000 2.4817 11.3816
0.0000 2.4817 6.4493
0.0000 2.4817 1.5171
2.4817 0.0000 1.5171
2.4817 2.4817 9.1517
2.4817 2.4817 3.7470
2.4817 0.0000 11.3816
0.0000 0.0000 3.9449
0.0000 0.0000 8.9537
0.0000 0.0000 0.0000
```

Computed properties:
The calculated formation energy comes out at -0.160 eV/atom. Its space group is P4/mmm (123). The final energy is -1.051 eV per atom.

***

[4]
LiThGe2Os: optimized geometry, PBE.

Geometry as POSCAR:
```
LiThGe2Os
1.0
-3.4297 2.4831 -0.2979
-1.5473 -2.5041 -3.0583
0.0963 -2.8659 5.2435
Ge Th Li Os
2 1 1 1
Cartesian
-3.0956 -0.7405 -0.7733
-1.7851 -2.1464 2.6605
0.0000 0.0000 0.0000
-1.9697 -2.6902 0.2535
-2.9110 -0.1967 1.6337
```

Computed properties:
The calculated formation energy comes out at -0.439 eV/atom. Its space group is I-4m2 (119). The final energy is -6.398 eV per atom.

***

[5]
La3Hg2Ir: optimized geometry, PBE.

Geometry as POSCAR:
```
La3Hg2Ir
1.0
6.0901 0.0000 0.0000
0.0000 8.2122 0.0004
-3.0451 -2.0557 7.4759
Hg Ir La
4 2 6
Cartesian
0.0008 2.0536 4.6285
3.0458 -0.0032 2.8476
-0.0008 6.1597 4.6286
3.0443 4.1029 2.8478
0.0005 6.1591 0.0003
6.0896 2.0530 0.0001
3.0449 2.0530 0.0001
0.0007 0.0002 1.9636
-0.0007 4.1063 1.9638
3.0453 6.1591 0.0003
3.0457 2.0502 5.5125
3.0444 6.1563 5.5127
```

Computed properties:
The energy above the most stable polymorph in this dataset comes out at 15 meV/atom. The calculated formation energy comes out at -0.552 eV/atom. Its space group is Immm (71). The final energy is -4.593 eV per atom.

***

[6]
BaPr2OsO8: optimized geometry, PBE.

Geometry as POSCAR:
```
BaPr2OsO8
1.0
-3.7310 3.2951 1.8968
-3.2398 -0.8601 -4.1352
-3.1269 -5.6219 3.6178
O Pr Os Ba
8 2 1 1
Cartesian
-4.2132 1.5264 1.4592
-1.6926 0.5942 -0.5387
-3.8412 -2.0111 1.0843
-6.2077 -2.0584 3.7661
-5.8845 -4.7134 -0.0797
-8.4052 -3.7812 1.9182
-3.8900 -1.1285 -2.3866
-6.2565 -1.1758 0.2952
-4.2866 -0.2223 -0.1927
-5.8111 -2.9646 1.5722
0.0000 0.0000 0.0000
-1.5635 -2.8110 1.8089
```

Computed properties:
The calculation puts the uncorrected formation energy at -2.17 eV per atom. Its space group is P2/m (10). The final energy is -7.367 eV per atom.

***

Summary of V in Å³/atom
20.38, 25.43, 28.89, 18.62, 31.16, 17.42
(order as listed above)